Computed, not measured: an optimized crystal structure of Ce3Mg5Tl2 at the PBE level of DFT.

Results
The calculation puts the density of states at the Fermi level at 2.443 states/eV/atom. The total energy comes out at -3.025 eV per atom. For the size of the total moment, the calculation gives 4.196 μB/f.u.

abc: 9.931 9.931 9.931
angles: 98.15 93.56 142.76
Element x y z (fractional)
Ce 0.240 0.126 0.365
Ce 0.250 0.250 0.000
Ce 0.260 0.626 0.886
Ce 0.740 0.374 0.114
Ce 0.750 0.750 0.000
Ce 0.760 0.874 0.635
Mg 0.146 0.384 0.530
Mg 0.250 0.508 0.258
Mg 0.250 0.750 0.500
Mg 0.250 0.992 0.742
Mg 0.354 0.884 0.239
Mg 0.646 0.116 0.761
Mg 0.750 0.008 0.258
Mg 0.750 0.250 0.500
Mg 0.750 0.492 0.742
Mg 0.854 0.616 0.470
Tl 0.153 0.857 0.010
Tl 0.347 0.357 0.704
Tl 0.653 0.643 0.296
Tl 0.847 0.143 0.990